A relaxed TcIrPb2 crystal. Source: Alexandria, functional GGA-PBE.

Unit cell a=5.805 b=5.805 c=5.805 alpha=139.88 beta=139.88 gamma=58.04
Fractional coordinates of all 4 atoms:
Tc  0.000  0.000  0.000
Ir  0.250  0.750  0.500
Pb  0.500  0.500  0.000
Pb  0.750  0.250  0.500

## Properties
Calculated volume, Å³ per atom: 20.1
DFT formation energy, eV per atom: 0.75
Energy, eV per atom: -5.9137
Symmetry: I-4m2, No. 119